Record 1
## Mg14CdPb (GGA-PBE)

Data for crystalline Mg14CdPb at its relaxed geometry.

```
16
Lattice="6.402 -0.015 0.000 0.013 6.402 0.000 0.000 0.000 9.055" Properties=species:S:1:pos:R:3 pbc="T T T"
Mg 5.613 5.589 0.000
Mg 2.405 2.395 0.000
Mg 5.606 2.388 4.528
Mg 5.606 2.388 0.000
Mg 2.412 5.596 4.528
Mg 2.412 5.596 0.000
Mg 3.980 0.814 2.256
Mg 3.980 0.814 6.799
Mg 0.831 3.976 2.256
Mg 0.831 3.976 6.799
Mg 3.986 3.969 2.257
Mg 3.986 3.969 6.799
Mg 0.825 0.822 2.257
Mg 0.825 0.822 6.798
Cd 2.405 2.395 4.528
Pb 5.612 5.589 4.528
```

density = 3.0 g/cm3
total moment = 0.0 μB/f.u.
space-group type = No. 123
raw total energy = -1.699 eV per atom


Record 2
## MgCd2Pb2 (GGA-PBE)

Data for crystalline MgCd2Pb2 at its relaxed geometry.

```
10
Lattice="8.450 0.000 0.000 0.000 8.450 0.000 0.000 0.000 3.983" Properties=species:S:1:pos:R:3 pbc="T T T"
Pb 2.773 6.998 0.000
Pb 6.998 5.677 0.000
Pb 5.677 1.452 0.000
Pb 1.452 2.773 0.000
Mg 0.000 0.000 0.000
Mg 4.225 4.225 0.000
Cd 1.092 5.317 1.992
Cd 5.317 7.358 1.992
Cd 7.358 3.133 1.992
Cd 3.133 1.092 1.992
```

density = 7.7 g/cm3
total moment = 0.0 μB/f.u.
energy above the most stable polymorph in this dataset = 112 meV/atom
space-group type = No. 127
raw total energy = -2.049 eV per atom


Record 3
## MgCd2Pb (GGA-PBE)

Data for crystalline MgCd2Pb at its relaxed geometry.

```
4
Lattice="-4.149 -1.859 3.697 -1.662 -1.268 -2.503 2.860 -4.367 1.013" Properties=species:S:1:pos:R:3 pbc="T T T"
Cd -1.596 -1.279 -2.434
Cd 0.532 -2.807 -0.814
Mg -1.775 -2.338 1.476
Pb -1.177 -5.156 0.731
```

density = 7.5 g/cm3
total moment = 0.0 μB/f.u.
energy above the most stable polymorph in this dataset = 34 meV/atom
space-group type = No. 10
raw total energy = -1.765 eV per atom


Record 4
## Mg5Cd2Pb2 (GGA-PBE)

Data for crystalline Mg5Cd2Pb2 at its relaxed geometry.

```
9
Lattice="5.681 -0.074 0.960 -3.297 6.665 -4.009 2.139 -2.439 7.531" Properties=species:S:1:pos:R:3 pbc="T T T"
Mg -0.572 5.292 -2.620
Mg 5.095 -1.140 7.102
Mg 0.477 0.176 3.272
Mg 4.046 3.977 1.210
Mg 0.000 0.000 0.000
Cd 2.225 -0.072 5.744
Cd 2.297 4.224 -1.262
Pb 0.998 2.924 1.509
Pb 3.524 1.228 2.973
```

density = 5.7 g/cm3
total moment = 0.0 μB/f.u.
energy above the most stable polymorph in this dataset = 0 meV/atom
space-group type = No. 2
raw total energy = -1.947 eV per atom


Record 5
## Mg2CdPb (GGA-PBE)

Data for crystalline Mg2CdPb at its relaxed geometry.

```
4
Lattice="-0.329 5.698 -0.553 -5.119 2.051 1.570 3.776 -3.528 2.485" Properties=species:S:1:pos:R:3 pbc="T T T"
Pb -2.724 3.874 0.508
Mg -0.001 0.001 0.000
Mg 0.361 3.023 1.221
Cd -2.033 1.198 2.281
```

density = 6.3 g/cm3
total moment = 0.0 μB/f.u.
space-group type = No. 44
raw total energy = -1.990 eV per atom


Record 6
## Mg3Cd2Pb3 (GGA-PBE)

Data for crystalline Mg3Cd2Pb3 at its relaxed geometry.

```
8
Lattice="4.431 0.000 0.000 0.000 4.750 0.000 -2.216 -2.375 9.755" Properties=species:S:1:pos:R:3 pbc="T T T"
Mg 0.000 0.000 2.546
Mg 0.000 2.375 0.000
Mg 2.216 2.375 7.210
Cd 2.216 0.000 4.843
Cd 0.000 2.375 4.912
Pb 2.216 2.375 2.515
Pb 0.000 0.000 7.240
Pb 2.216 0.000 0.000
```

density = 7.4 g/cm3
total moment = 0.0 μB/f.u.
space-group type = No. 71
raw total energy = -2.247 eV per atom